# CaMn2SeF PBE with a Hubbard U relaxed
data_CaMn2SeF
_chemical_formula_sum 'Ca1 Mn2 Se1 F1'
_cell_length_a 4.799
_cell_length_b 4.799
_cell_length_c 6.185
_cell_angle_alpha 90.00
_cell_angle_beta 90.00
_cell_angle_gamma 90.00
_symmetry_space_group_name_H-M 'P 4/m m m'
_symmetry_Int_Tables_number 123
_symmetry_space_group_name_Hall '-P 4 2'
loop_
_atom_site_label
_atom_site_fract_x
_atom_site_fract_y
_atom_site_fract_z
_atom_site_occupancy
Ca1 0.000 0.000 0.000 1
Mn1 0.000 0.500 0.500 1
Se1 0.500 0.500 0.500 1
F1 0.500 0.500 0.000 1
# - Total DFT energy (no corrections): -4.687 eV/atom
# - D(E_F): 3.820 states/eV/f.u.
# - M_tot: 8.96 μB/cell